# Pm2Cd2Pb

A geometry-optimized Pm2Cd2Pb structure (PBE, Alexandria via LeMat-Bulk).

Output
As for the relative energy among the computed polymorphs: 0 kJ/mol of formula units. Its calculated volume is 30.52 Å³/atom. The total magnetization is 0.0000 μB/atom. The formation energy comes out at -0.23 eV per atom. Its density of states at the Fermi level is 3.8 states/eV/cell. The calculation puts the total energy at -16.18 eV/cell.

Unit cell a=8.175 b=8.175 c=6.262 alpha=45.09 beta=45.09 gamma=32.55
Fractional positions:
Pm: 0.701 0.701 0.813
Pm: 0.299 0.299 0.187
Cd: 0.407 0.407 0.501
Cd: 0.593 0.593 0.499
Pb: 0.000 0.000 0.000

# SbWSe2Br

A geometry-optimized SbWSe2Br structure (PBE, Alexandria via LeMat-Bulk).

Output
As for the relative energy among the computed polymorphs: 422 kJ/mol of formula units. The calculation puts the energy relative to the elements, uncorrected at 1.3234 eV per atom. Its calculated volume is 30.76 Å³/atom. The total magnetization is 0.8293 μB/atom. Its density of states at the Fermi level is 2.8 states/eV/cell. The calculation puts the total energy at -19.10 eV/cell.

Unit cell a=5.398 b=5.398 c=5.278 alpha=90.00 beta=90.00 gamma=90.00
Fractional positions:
Sb: 0.000 0.000 0.000
Se: 0.000 0.500 0.000
Se: 0.500 0.000 0.000
Br: 0.000 0.000 0.500
W: 0.500 0.500 0.500

# Si2WCl

A geometry-optimized Si2WCl structure (PBE, Alexandria via LeMat-Bulk).

Output
As for the relative energy among the computed polymorphs: 89 kJ/mol of formula units. The calculation puts the energy relative to the elements, uncorrected at 0.4644 eV per atom. Its calculated volume is 17.09 Å³/atom. The total magnetization is 0.0000 μB/atom. Its density of states at the Fermi level is 1.8 states/eV/cell. The calculation puts the total energy at -23.79 eV/cell.

Unit cell a=5.859 b=5.859 c=5.859 alpha=153.14 beta=130.79 gamma=56.95
Fractional positions:
Cl: 0.303 0.803 0.500
Si: 0.965 0.965 0.000
Si: 0.721 0.221 0.500
W: 0.511 0.511 0.000

# Sm6Y3Sc2

A geometry-optimized Sm6Y3Sc2 structure (PBE, Alexandria via LeMat-Bulk).

Output
As for the relative energy among the computed polymorphs: 0 kJ/mol of formula units. Its calculated volume is 33.23 Å³/atom. The total magnetization is 0.0000 μB/atom. The formation energy comes out at 0.20 eV per atom. Its density of states at the Fermi level is 15.4 states/eV/cell. The calculation puts the total energy at -58.19 eV/cell.

Unit cell a=6.171 b=6.173 c=11.268 alpha=84.74 beta=79.44 gamma=60.01
Fractional positions:
Sm: 0.421 0.667 0.736
Sm: 0.754 0.000 0.736
Sm: 0.089 0.333 0.736
Sm: 0.246 0.000 0.264
Sm: 0.579 0.333 0.264
Sm: 0.911 0.667 0.264
Y: 0.000 0.000 0.000
Y: 0.334 0.333 0.000
Y: 0.666 0.667 0.000
Sc: 0.167 0.666 0.500
Sc: 0.833 0.334 0.500

# ZrIr2Au

A geometry-optimized ZrIr2Au structure (PBE, Alexandria via LeMat-Bulk).

Output
As for the relative energy among the computed polymorphs: 117 kJ/mol of formula units. Its calculated volume is 16.95 Å³/atom. The total magnetization is 0.0000 μB/atom. The formation energy comes out at -0.23 eV per atom. Its density of states at the Fermi level is 4.9 states/eV/cell. The calculation puts the total energy at -30.47 eV/cell.

Unit cell a=5.030 b=5.030 c=4.809 alpha=78.83 beta=78.83 gamma=34.70
Fractional positions:
Au: 0.746 0.746 0.755
Ir: 0.992 0.992 0.013
Ir: 0.258 0.258 0.240
Zr: 0.504 0.504 0.492

# SrBe2Cl

A geometry-optimized SrBe2Cl structure (PBE, Alexandria via LeMat-Bulk).

Output
As for the relative energy among the computed polymorphs: 185 kJ/mol of formula units. The calculation puts the energy relative to the elements, uncorrected at 0.3173 eV per atom. Its calculated volume is 26.43 Å³/atom. The total magnetization is 0.0000 μB/atom. Its density of states at the Fermi level is 2.2 states/eV/cell. The calculation puts the total energy at -9.71 eV/cell.

Unit cell a=5.418 b=5.418 c=4.271 alpha=90.00 beta=90.00 gamma=122.54
Fractional positions:
Sr: 0.000 0.500 0.500
Be: 0.000 0.000 0.000
Be: 0.500 0.500 0.000
Cl: 0.500 0.000 0.500